Entry from Alexandria: a relaxed structure of MnIr2Os (PBE).

Results
energy	-9.22	eV per atom
total magnetic moment	0.810	μB per atom
crystal system	orthorhombic

Geometry as extended XYZ:
```
4
Lattice="1.372 -2.327 0.000 1.372 2.327 0.000 0.000 0.000 9.053" Properties=species:S:1:pos:R:3 pbc="T T T"
Mn 0.000 0.000 0.000
Ir 0.000 0.000 4.554
Ir 1.372 0.000 2.164
Os 1.372 0.000 6.896
```


Entry from Alexandria: a relaxed structure of MnIr2Os (PBE).

Results
energy	-9.60	eV per atom
total magnetic moment	0.580	μB per atom
crystal system	orthorhombic

Geometry as extended XYZ:
```
4
Lattice="2.705 -3.800 0.000 2.705 3.800 0.000 0.000 0.000 2.723" Properties=species:S:1:pos:R:3 pbc="T T T"
Mn 0.000 0.000 0.000
Ir 1.353 1.900 1.362
Ir 1.353 -1.900 1.362
Os 2.705 0.000 0.000
```


Entry from Alexandria: a relaxed structure of MnIr6Os (PBE).

Results
energy	-9.27	eV per atom
total magnetic moment	0.398	μB per atom
crystal system	tetragonal

Geometry as extended XYZ:
```
8
Lattice="5.453 0.000 0.000 0.000 5.453 0.000 0.000 0.000 3.855" Properties=species:S:1:pos:R:3 pbc="T T T"
Mn 0.000 0.000 0.000
Ir 0.000 2.726 0.000
Ir 1.373 1.373 1.928
Ir 1.373 4.080 1.928
Ir 2.726 0.000 0.000
Ir 4.080 1.373 1.928
Ir 4.080 4.080 1.928
Os 2.726 2.726 0.000
```


Entry from Alexandria: a relaxed structure of MnIr2Os (PBE).

Results
energy	-8.92	eV per atom
total magnetic moment	0.152	μB per atom
crystal system	cubic

Geometry as extended XYZ:
```
4
Lattice="0.000 3.046 3.046 3.046 0.000 3.046 3.046 3.046 0.000" Properties=species:S:1:pos:R:3 pbc="T T T"
Mn 0.000 0.000 0.000
Ir 1.523 1.523 1.523
Ir 4.570 4.570 4.570
Os 3.046 3.046 3.046
```


Entry from Alexandria: a relaxed structure of MnIr2Os (PBE).

Results
energy	-9.62	eV per atom
total magnetic moment	0.390	μB per atom
crystal system	orthorhombic

Geometry as extended XYZ:
```
4
Lattice="2.725 0.000 0.000 0.000 4.300 0.000 0.000 0.000 4.711" Properties=species:S:1:pos:R:3 pbc="T T T"
Mn 0.000 0.000 0.000
Ir 1.363 0.000 2.403
Ir 1.363 2.150 0.781
Os 0.000 2.150 3.189
```


Entry from Alexandria: a relaxed structure of MnIr2Os (PBE).

Results
energy	-9.58	eV per atom
total magnetic moment	0.484	μB per atom
crystal system	tetragonal

Geometry as extended XYZ:
```
4
Lattice="-1.903 1.903 3.828 1.903 -1.903 3.828 1.903 1.903 -3.828" Properties=species:S:1:pos:R:3 pbc="T T T"
Mn 0.000 0.000 0.000
Ir 0.000 0.000 3.828
Ir 0.000 1.903 1.914
Os 1.903 0.000 1.914
```


Entry from Alexandria: a relaxed structure of Mn2Ir6Os (PBE).

Results
energy	-9.27	eV per atom
total magnetic moment	0.437	μB per atom
crystal system	triclinic

Geometry as extended XYZ:
```
9
Lattice="4.707 0.000 0.000 2.353 4.078 0.000 0.828 1.368 6.588" Properties=species:S:1:pos:R:3 pbc="T T T"
Mn 1.995 2.021 1.120
Mn 5.894 3.425 5.468
Ir 2.754 3.397 3.328
Ir 3.554 4.751 5.513
Ir 3.554 2.062 5.505
Ir 4.335 3.384 1.083
Ir 4.334 0.695 1.075
Ir 5.134 2.049 3.260
Os 2.768 0.684 3.294
```


Entry from Alexandria: a relaxed structure of MnIr6Os2 (PBE).

Results
energy	-8.99	eV per atom
total magnetic moment	0.163	μB per atom
crystal system	trigonal

Geometry as extended XYZ:
```
9
Lattice="2.637 1.522 6.019 -2.637 1.522 6.019 0.000 -3.044 6.019" Properties=species:S:1:pos:R:3 pbc="T T T"
Mn 0.000 0.000 0.000
Ir -1.268 -0.732 10.096
Ir -1.289 -0.744 13.910
Ir 1.268 -0.732 10.096
Ir 0.000 1.464 10.096
Ir 1.289 -0.744 13.910
Ir 0.000 1.489 13.910
Os 0.000 0.000 4.782
Os 0.000 0.000 7.081
```


Entry from Alexandria: a relaxed structure of MnIr2Os (PBE).

Results
energy	-8.52	eV per atom
total magnetic moment	0.000	μB per atom
crystal system	tetragonal

Geometry as extended XYZ:
```
8
Lattice="-2.644 2.644 5.678 2.644 -2.644 5.678 2.644 2.644 -5.678" Properties=species:S:1:pos:R:3 pbc="T T T"
Mn 0.000 0.000 0.000
Mn 0.000 2.644 2.839
Ir 3.965 1.218 -1.420
Ir 1.218 1.322 1.420
Ir -1.322 1.425 4.259
Ir 1.425 1.322 7.098
Os 2.644 0.000 2.839
Os 0.000 0.000 5.678
```


Entry from Alexandria: a relaxed structure of MnIr2Os (PBE).

Results
energy	-9.34	eV per atom
total magnetic moment	0.655	μB per atom
crystal system	orthorhombic

Geometry as extended XYZ:
```
4
Lattice="-1.403 2.185 4.665 1.403 -2.185 4.665 1.403 2.185 -4.665" Properties=species:S:1:pos:R:3 pbc="T T T"
Mn 0.000 0.000 0.000
Ir 0.000 0.000 4.594
Ir 0.000 2.185 2.585
Os 1.403 0.000 2.025
```


Entry from Alexandria: a relaxed structure of MnIr8Os3 (PBE).

Results
energy	-8.11	eV per atom
total magnetic moment	0.427	μB per atom
crystal system	tetragonal

Geometry as extended XYZ:
```
12
Lattice="-3.461 3.461 6.005 3.461 -3.461 6.005 3.461 3.461 -6.005" Properties=species:S:1:pos:R:3 pbc="T T T"
Mn 0.000 0.000 0.000
Ir 0.892 -0.892 2.240
Ir 2.527 2.527 -2.006
Ir -0.892 0.892 2.240
Ir 0.934 0.934 3.998
Ir 0.934 -0.934 8.011
Ir 2.569 2.569 3.765
Ir -0.934 0.934 8.011
Ir 0.892 0.892 9.770
Os 3.461 0.000 3.002
Os 0.000 0.000 6.005
Os 0.000 3.461 3.002
```


Entry from Alexandria: a relaxed structure of MnIrOs3 (PBE).

Results
energy above the most stable polymorph in this dataset	0	meV/atom
energy	-8.52	eV per atom
total magnetic moment	0.000	μB per atom
crystal system	cubic

Geometry as extended XYZ:
```
5
Lattice="4.355 0.000 0.000 0.000 4.355 0.000 0.000 0.000 4.355" Properties=species:S:1:pos:R:3 pbc="T T T"
Mn 0.000 0.000 0.000
Ir 2.177 2.177 2.177
Os 0.000 0.000 2.177
Os 0.000 2.177 0.000
Os 2.177 0.000 0.000
```


Entry from Alexandria: a relaxed structure of Mn2IrOs2 (PBE).

Results
energy above the most stable polymorph in this dataset	376	meV/atom
energy	-9.40	eV per atom
total magnetic moment	0.000	μB per atom
crystal system	tetragonal

Geometry as extended XYZ:
```
5
Lattice="-1.913 1.913 4.877 1.913 -1.913 4.877 1.913 1.913 -4.877" Properties=species:S:1:pos:R:3 pbc="T T T"
Mn 0.000 0.000 0.998
Mn 0.000 0.000 8.756
Ir 0.000 0.000 4.877
Os 1.913 0.000 2.439
Os 0.000 1.913 2.439
```


Entry from Alexandria: a relaxed structure of MnIr2Os (PBE).

Results
energy	-9.54	eV per atom
total magnetic moment	0.226	μB per atom
crystal system	tetragonal

Geometry as extended XYZ:
```
4
Lattice="2.697 0.000 0.000 0.000 2.697 0.000 0.000 0.000 7.529" Properties=species:S:1:pos:R:3 pbc="T T T"
Mn 0.000 0.000 0.000
Ir 0.000 0.000 3.732
Ir 1.349 1.349 5.762
Os 1.349 1.349 1.815
```


Entry from Alexandria: a relaxed structure of MnIr4Os (PBE).

Results
energy above the most stable polymorph in this dataset	118	meV/atom
energy	-8.72	eV per atom
total magnetic moment	0.343	μB per atom
crystal system	cubic

Geometry as extended XYZ:
```
6
Lattice="0.000 3.618 3.618 3.618 0.000 3.618 3.618 3.618 0.000" Properties=species:S:1:pos:R:3 pbc="T T T"
Mn 0.000 0.000 0.000
Ir 2.715 2.715 2.715
Ir 4.521 4.521 2.715
Ir 4.521 2.715 4.521
Ir 2.715 4.521 4.521
Os 5.427 5.427 5.427
```


Entry from Alexandria: a relaxed structure of MnIr2Os (PBE).

Results
energy	-9.57	eV per atom
total magnetic moment	0.604	μB per atom
crystal system	monoclinic

Geometry as extended XYZ:
```
4
Lattice="4.471 -1.361 0.000 4.471 1.361 0.000 -0.841 0.000 4.600" Properties=species:S:1:pos:R:3 pbc="T T T"
Mn 0.000 0.000 0.000
Ir 4.052 0.000 2.336
Ir 6.487 0.000 1.090
Os 1.617 0.000 3.419
```


Entry from Alexandria: a relaxed structure of MnIr4Os (PBE).

Results
energy above the most stable polymorph in this dataset	0	meV/atom
energy	-8.84	eV per atom
total magnetic moment	0.251	μB per atom
crystal system	orthorhombic

Geometry as extended XYZ:
```
12
Lattice="2.659 -4.683 0.000 2.659 4.683 0.000 0.000 0.000 8.081" Properties=species:S:1:pos:R:3 pbc="T T T"
Mn 2.659 3.673 6.060
Mn 2.659 -3.673 2.020
Ir 1.353 1.548 6.060
Ir 1.315 0.000 0.000
Ir 1.315 0.000 4.040
Ir 1.353 -1.548 2.020
Ir 3.965 1.548 6.060
Ir 4.003 0.000 0.000
Ir 4.003 0.000 4.040
Ir 3.965 -1.548 2.020
Os 2.659 1.010 2.020
Os 2.659 -1.010 6.060
```


Entry from Alexandria: a relaxed structure of MnIr2Os (PBE).

Results
energy	-9.62	eV per atom
total magnetic moment	0.526	μB per atom
crystal system	tetragonal

Geometry as extended XYZ:
```
4
Lattice="-1.905 1.905 3.829 1.905 -1.905 3.829 1.905 1.905 -3.829" Properties=species:S:1:pos:R:3 pbc="T T T"
Mn 0.000 0.000 0.000
Ir 1.905 0.000 1.915
Ir 0.000 1.905 1.915
Os 0.000 0.000 3.829
```


Entry from Alexandria: a relaxed structure of MnIr2Os (PBE).

Results
energy	-9.22	eV per atom
total magnetic moment	1.030	μB per atom
crystal system	orthorhombic

Geometry as extended XYZ:
```
4
Lattice="1.373 -2.334 0.000 1.373 2.334 0.000 0.000 0.000 9.083" Properties=species:S:1:pos:R:3 pbc="T T T"
Mn 0.000 0.000 0.000
Ir 1.373 0.000 2.187
Ir 1.373 0.000 6.896
Os 0.000 0.000 4.542
```


Entry from Alexandria: a relaxed structure of MnIr2Os (PBE).

Results
energy	-9.47	eV per atom
total magnetic moment	0.271	μB per atom
crystal system	trigonal

Geometry as extended XYZ:
```
4
Lattice="1.354 0.782 8.689 -1.354 0.782 8.689 0.000 -1.563 8.689" Properties=species:S:1:pos:R:3 pbc="T T T"
Mn 0.000 0.000 0.000
Ir 0.000 0.000 6.626
Ir 0.000 0.000 13.007
Os 0.000 0.000 19.459
```